# TbHfFeCu, relaxed, DFT PBE
data_TbHfFeCu
_symmetry_space_group_name_H-M 'F -4 3 m'
_symmetry_Int_Tables_number 216
_symmetry_space_group_name_Hall 'F -4 2 3'
_cell_length_a 6.5962
_cell_length_b 6.5962
_cell_length_c 6.5962
_cell_angle_alpha 90.00
_cell_angle_beta 90.00
_cell_angle_gamma 90.00
loop_
_atom_site_label
_atom_site_type_symbol
_atom_site_fract_x
_atom_site_fract_y
_atom_site_fract_z
Tb1 Tb 0.0000 0.0000 0.0000
Hf1 Hf 0.0000 0.0000 0.5000
Fe1 Fe 0.2500 0.2500 0.7500
Cu1 Cu 0.2500 0.2500 0.2500
# Formation energy from the elements, eV per atom: -0.039
# Uncorrected energy, eV/cell: -109.19